Below is a crystal of LaRe2Au relaxed with PBEsol, with properties calculated at the meta-GGA SCAN level.

Properties
The energy comes out at -252.3 eV for the cell shown. As for the energy above the most stable polymorph in this dataset: 0.061 eV per atom. The calculation puts the energy of formation at 528 meV/atom. The density of states at the Fermi level comes out at 2.93 states/eV per cell.

Lattice parameters (Å, degrees): 3.254 4.971 4.754 90.00 92.96 90.00
Sites, in units of the cell vectors:
La  0.000  0.000  0.000
Re  0.336  0.500  0.759
Re  0.664  0.500  0.241
Au  0.500  0.000  0.500